[1]
The following is a meta-GGA SCAN calculation of a crystal of Ti3NiAg relaxed with PBEsol, from the Alexandria database.

Its crystal system is cubic. Its energy relative to the elements is 0.366 eV per atom.

It has space group Pm-3m (No. 221), with a = 4.475 Å, b = 4.475 Å, c = 4.475 Å, α = 90.00°, β = 90.00° and γ = 90.00°. Symmetry generates all atoms from Ti at (0.000, 0.000, 0.500), Ni at (0.000, 0.000, 0.000) and Ag at (0.500, 0.500, 0.500).

***

[2]
The following is a meta-GGA SCAN calculation of a crystal of TiNi3Ag relaxed with PBEsol, from the Alexandria database.

Its crystal system is cubic. Its energy relative to the elements is 1.423 eV per atom.

It has space group Pm-3m (No. 221), with a = 4.458 Å, b = 4.458 Å, c = 4.458 Å, α = 90.00°, β = 90.00° and γ = 90.00°. Symmetry generates all atoms from Ti at (0.000, 0.000, 0.000), Ni at (0.000, 0.500, 0.500) and Ag at (0.500, 0.500, 0.500).

***

[3]
The following is a meta-GGA SCAN calculation of a crystal of Ti2Ni2Ag relaxed with PBEsol, from the Alexandria database.

Its crystal system is tetragonal. Its energy relative to the elements is -0.336 eV per atom.

It has space group P4/mbm (No. 127), with a = 6.886 Å, b = 6.886 Å, c = 2.909 Å, α = 90.00°, β = 90.00° and γ = 90.00°. Symmetry generates all atoms from Ti at (0.167, 0.333, 0.000), Ni at (0.128, 0.628, 0.500) and Ag at (0.000, 0.000, 0.500).

***

no.,VASP energy (eV for the cell shown),Fermi-level density of states (states/eV per cell)
1,-93.80,9.2
2,-88.80,7.6
3,-194.91,7.3